Below is CsCrH24Se2O20 after structural relaxation, with properties calculated at the PBE with a Hubbard U level.

CIF file:
```
data_CsCrH24Se2O20
_chemical_formula_sum 'Cs4 Cr4 H96 Se8 O80'
_cell_length_a 12.719
_cell_length_b 12.719
_cell_length_c 12.719
_cell_angle_alpha 90.00
_cell_angle_beta 90.00
_cell_angle_gamma 90.00
_symmetry_space_group_name_H-M 'P a -3'
_symmetry_Int_Tables_number 205
_symmetry_space_group_name_Hall '-P 2ac 2ab 3'
loop_
_atom_site_label
_atom_site_fract_x
_atom_site_fract_y
_atom_site_fract_z
Cs1 0.000 0.000 0.000
Cr1 0.000 0.000 0.500
H1 0.005 0.197 0.776
H2 0.025 0.548 0.794
H3 0.038 0.081 0.311
H4 0.114 0.668 0.724
Se1 0.195 0.195 0.195
O1 0.012 0.014 0.344
O2 0.043 0.637 0.712
O3 0.074 0.188 0.246
O4 0.229 0.729 0.771
```

Calculated values
- E (eV/atom) = -5.155